Material: LaNdErTl
Method: DFT, PBE
State: relaxed

Results
Density of states at the Fermi level (states/eV per cell): 6.13
DFT formation energy (eV/atom): -0.09
Space group: F-43m, No. 216

a b c (Å): 5.6198 5.6198 5.6198
angles (deg): 60.00 60.00 60.00
Positions (direct):
1 La 0.0000 0.0000 0.0000
2 Nd 0.5000 0.5000 0.5000
3 Er 0.7500 0.7500 0.7500
4 Tl 0.2500 0.2500 0.2500

Material: La2NdErTl2
Method: DFT, PBE
State: relaxed

Results
Density of states at the Fermi level (states/eV per cell): 12.84
DFT formation energy (eV/atom): -0.29
Space group: Pmc2_1, No. 26

a b c (Å): 5.1774 10.3198 7.0353
angles (deg): 90.00 90.00 90.00
Positions (direct):
1 La 0.0000 0.0622 0.0000
2 La 0.0000 0.9378 0.5000
3 La 0.5000 0.1751 0.2337
4 La 0.5000 0.8249 0.7337
5 Nd 0.5000 0.4547 0.8780
6 Nd 0.5000 0.5453 0.3780
7 Er 0.0000 0.3054 0.5862
8 Er 0.0000 0.6946 0.0862
9 Tl 0.0000 0.3871 0.1442
10 Tl 0.0000 0.6129 0.6442
11 Tl 0.5000 0.1488 0.7119
12 Tl 0.5000 0.8512 0.2119

Material: LaNdErTl
Method: DFT, PBE
State: relaxed

Results
Density of states at the Fermi level (states/eV per cell): 7.48
DFT formation energy (eV/atom): -0.02
Space group: F-43m, No. 216

a b c (Å): 5.5488 5.5488 5.5488
angles (deg): 60.00 60.00 60.00
Positions (direct):
1 La 0.0000 0.0000 0.0000
2 Nd 0.7500 0.7500 0.7500
3 Er 0.2500 0.2500 0.2500
4 Tl 0.5000 0.5000 0.5000

Material: La2Nd6Er3Tl
Method: DFT, PBE
State: relaxed

Results
Density of states at the Fermi level (states/eV per cell): 14.63
DFT formation energy (eV/atom): -0.04
Space group: C2/m, No. 12

a b c (Å): 6.2289 6.2289 11.9844
angles (deg): 94.98 94.98 120.07
Positions (direct):
1 La 0.1664 0.8336 0.0000
2 La 0.8336 0.1664 0.0000
3 Nd 0.0898 0.4155 0.7460
4 Nd 0.2593 0.2593 0.2546
5 Nd 0.4155 0.0898 0.7460
6 Nd 0.5845 0.9102 0.2540
7 Nd 0.7407 0.7407 0.7454
8 Nd 0.9102 0.5845 0.2540
9 Er 0.0000 0.0000 0.5000
10 Er 0.3329 0.6671 0.5000
11 Er 0.6671 0.3329 0.5000
12 Tl 0.5000 0.5000 0.0000

Look up the DFT formation energy of the third one. -0.02 eV/atom